Entry from the Alexandria database: a relaxed AcHg2Rh2 crystal (PBE).

Unit cell a=5.613 b=6.855 c=7.550 alpha=68.01 beta=68.10 gamma=65.88
Element x y z (fractional)
Hg 0.150 0.138 0.286
Hg 0.850 0.862 0.714
Hg 0.427 0.638 0.786
Hg 0.573 0.362 0.214
Ac 0.866 0.750 0.250
Ac 0.134 0.250 0.750
Rh 0.583 0.173 0.949
Rh 0.296 0.673 0.449
Rh 0.417 0.827 0.051
Rh 0.704 0.327 0.551

Output
The space group is P-1, No. 2. Its electronic total energy is -4.23 eV/atom. For the energy relative to the elements, the calculation gives -0.3485 eV per atom.